KCrCoO3 | GGA+U | relaxed Values from VASP.

Quantum ESPRESSO input file:
```
&SYSTEM
  ibrav = 0, nat = 12, ntyp = 4
/
ATOMIC_SPECIES
K 39.10 K.upf
Cr 52.00 Cr.upf
Co 58.93 Co.upf
O 16.00 O.upf
ATOMIC_POSITIONS angstrom
K 1.600 2.618 6.250
K 0.000 3.708 2.083
Cr 0.000 0.000 4.166
Cr 0.000 0.000 0.000
Co 0.000 5.549 6.250
Co 1.600 0.777 2.083
O 1.600 1.303 3.888
O 0.000 5.023 4.444
O 0.000 5.023 8.055
O 1.600 1.303 0.278
O 0.000 0.427 6.250
O 1.600 5.899 2.083
CELL_PARAMETERS angstrom
3.200 0.000 0.000
-1.600 6.326 0.000
0.000 0.000 8.333
```

Results
Crystal system: orthorhombic
Calculated total energy (eV per atom): -6.030
Symmetry: Cmcm